No. 1
## DyEr14Sc (PBE)

Data for a relaxed DyEr14Sc crystal.

Unit cell a=6.986 b=6.986 c=9.868 alpha=90.00 beta=90.00 gamma=90.00
Fractional positions:
Dy 0.000 0.000 0.000
Er 0.000 0.000 0.500
Er 0.000 0.500 0.000
Er 0.000 0.500 0.500
Er 0.252 0.252 0.248
Er 0.252 0.252 0.752
Er 0.252 0.748 0.248
Er 0.252 0.748 0.752
Er 0.500 0.000 0.000
Er 0.500 0.000 0.500
Er 0.500 0.500 0.500
Er 0.748 0.252 0.248
Er 0.748 0.252 0.752
Er 0.748 0.748 0.248
Er 0.748 0.748 0.752
Sc 0.500 0.500 0.000

- M_tot: 0.000 Bohr magnetons per cell
- DOS at the Fermi energy: 1.214 states/eV per atom
- Final energy: -4.65 eV/atom
- Formation energy from the elements: 26 meV per atom



No. 2
## DyEr5Sc3 (PBE)

Data for a relaxed DyEr5Sc3 crystal.

Unit cell a=9.117 b=9.117 c=9.522 alpha=120.62 beta=120.62 gamma=74.58
Fractional positions:
Dy 0.246 0.246 0.097
Dy 0.754 0.754 0.903
Er 0.109 0.614 0.758
Er 0.221 0.221 0.733
Er 0.243 0.757 0.500
Er 0.283 0.283 0.469
Er 0.386 0.891 0.242
Er 0.614 0.109 0.758
Er 0.717 0.717 0.531
Er 0.757 0.243 0.500
Er 0.779 0.779 0.267
Er 0.891 0.386 0.242
Sc 0.000 0.000 0.000
Sc 0.013 0.013 0.318
Sc 0.478 0.478 0.133
Sc 0.500 0.500 0.500
Sc 0.522 0.522 0.867
Sc 0.987 0.987 0.682

- M_tot: 0.000 Bohr magnetons per cell
- DOS at the Fermi energy: 1.420 states/eV per atom
- Final energy: -4.67 eV/atom
- Formation energy from the elements: 483 meV per atom



No. 3
## Dy4ErSc7 (PBE)

Data for a relaxed Dy4ErSc7 crystal.

Unit cell a=6.290 b=6.290 c=11.963 alpha=111.88 beta=111.88 gamma=52.07
Fractional positions:
Dy 0.097 0.097 0.295
Dy 0.372 0.372 0.226
Dy 0.628 0.628 0.774
Dy 0.903 0.903 0.705
Er 0.500 0.500 0.000
Sc 0.000 0.000 0.000
Sc 0.150 0.150 0.618
Sc 0.207 0.207 0.915
Sc 0.370 0.370 0.516
Sc 0.630 0.630 0.484
Sc 0.793 0.793 0.085
Sc 0.850 0.850 0.382

- M_tot: 0.558 Bohr magnetons per cell
- DOS at the Fermi energy: 1.847 states/eV per atom
- Final energy: -5.33 eV/atom
- Formation energy from the elements: 277 meV per atom



No. 4
## DyEr2Sc7 (PBE)

Data for a relaxed DyEr2Sc7 crystal.

Unit cell a=9.345 b=9.345 c=4.975 alpha=90.00 beta=90.00 gamma=133.04
Fractional positions:
Dy 0.000 0.000 0.000
Er 0.263 0.737 0.500
Er 0.737 0.263 0.500
Sc 0.100 0.293 0.500
Sc 0.293 0.100 0.500
Sc 0.408 0.592 0.000
Sc 0.500 0.500 0.500
Sc 0.592 0.408 0.000
Sc 0.707 0.900 0.500
Sc 0.900 0.707 0.500

- M_tot: 0.001 Bohr magnetons per cell
- DOS at the Fermi energy: 1.352 states/eV per atom
- Final energy: -5.19 eV/atom
- Formation energy from the elements: 614 meV per atom



No. 5
## Dy4ErSc4 (PBE)

Data for a relaxed Dy4ErSc4 crystal.

Unit cell a=7.633 b=7.633 c=7.633 alpha=95.73 beta=95.73 gamma=143.17
Fractional positions:
Dy 0.000 0.329 0.329
Dy 0.000 0.671 0.671
Dy 0.329 0.000 0.329
Dy 0.671 0.000 0.671
Er 0.000 0.000 0.000
Sc 0.334 0.334 0.668
Sc 0.334 0.666 0.000
Sc 0.666 0.334 0.000
Sc 0.666 0.666 0.332

- M_tot: 0.006 Bohr magnetons per cell
- DOS at the Fermi energy: 1.531 states/eV per atom
- Final energy: -5.31 eV/atom
- Formation energy from the elements: 52 meV per atom



No. 6
## Dy4Er10Sc (PBE)

Data for a relaxed Dy4Er10Sc crystal.

Unit cell a=9.283 b=9.283 c=9.283 alpha=99.62 beta=99.62 gamma=131.75
Fractional positions:
Dy 0.101 0.299 0.400
Dy 0.299 0.899 0.199
Dy 0.701 0.101 0.801
Dy 0.899 0.701 0.600
Er 0.058 0.157 0.706
Er 0.157 0.451 0.099
Er 0.250 0.750 0.500
Er 0.352 0.058 0.901
Er 0.451 0.352 0.294
Er 0.549 0.648 0.706
Er 0.648 0.942 0.099
Er 0.750 0.250 0.500
Er 0.843 0.549 0.901
Er 0.942 0.843 0.294
Sc 0.500 0.500 0.000

- M_tot: 0.000 Bohr magnetons per cell
- DOS at the Fermi energy: 0.977 states/eV per atom
- Final energy: -3.97 eV/atom
- Formation energy from the elements: 726 meV per atom